[1]
## Tb3Ho2In2 (PBE)

Data for a geometry-optimized Tb3Ho2In2 structure.

Cell: 8.5835 8.5835 8.5835 Å, 36.55 36.55 36.55°
Closest atoms and distances in Å follow each position.
Atoms (fractional coordinates):
Tb 0.0000 0.0000 0.0000  6 In 3.33, 2 Tb 3.69
Tb 0.1537 0.1537 0.1537  1 In 3.12, 3 Tb 3.17, 3 Ho 3.45
Tb 0.8463 0.8463 0.8463  1 In 3.12, 3 Tb 3.17, 3 Ho 3.45
Ho 0.4243 0.4243 0.4243  4 In 3.26-3.38, 3 Tb 3.45, 1 Ho 3.63
Ho 0.5757 0.5757 0.5757  4 In 3.26-3.38, 3 Tb 3.45, 1 Ho 3.63
In 0.2837 0.2837 0.2837  4 Tb 3.12-3.33, 4 Ho 3.26-3.38
In 0.7163 0.7163 0.7163  4 Tb 3.12-3.33, 4 Ho 3.26-3.38

Summary:
Size of the total moment (μB/f.u.): 0.00
Offset from the most stable computed form (eV/atom): 0.000
DFT formation energy (kJ per mole of atoms): -26.3
Density of states at the Fermi level (states/eV/f.u.): 5.41

***

[2]
## TbHo6In2 (PBE)

Data for a geometry-optimized TbHo6In2 structure.

Cell: 8.7563 8.7563 8.7563 Å, 138.23 138.23 60.55°
Closest atoms and distances in Å follow each position.
Atoms (fractional coordinates):
Tb 0.0000 0.0000 0.0000  4 Ho 3.13, 2 In 3.23
Ho 0.2355 0.5908 0.0000  1 Tb 3.13, 5 Ho 3.14-3.44, 2 In 3.40-3.43
Ho 0.2500 0.7500 0.5000  4 In 3.17, 4 Ho 3.37
Ho 0.4092 0.4092 0.6447  1 Tb 3.13, 5 Ho 3.14-3.44, 2 In 3.40-3.43
Ho 0.5908 0.2355 0.0000  1 Tb 3.13, 5 Ho 3.14-3.44, 2 In 3.40-3.43
Ho 0.7500 0.2500 0.5000  4 In 3.17, 4 Ho 3.37
Ho 0.7645 0.7645 0.3553  1 Tb 3.13, 5 Ho 3.14-3.44, 2 In 3.40-3.43
In 0.2137 0.2137 0.0000  8 Ho 3.17-3.43, 1 Tb 3.23
In 0.7863 0.7863 0.0000  8 Ho 3.17-3.43, 1 Tb 3.23

Summary:
Size of the total moment (μB/f.u.): 0.00
Offset from the most stable computed form (eV/atom): 0.530
DFT formation energy (kJ per mole of atoms): 31.5
Density of states at the Fermi level (states/eV/f.u.): 12.32

***

[3]
## Tb5Ho3In4 (PBE)

Data for a geometry-optimized Tb5Ho3In4 structure.

Cell: 7.9003 7.9003 8.6085 Å, 100.87 100.87 42.10°
Closest atoms and distances in Å follow each position.
Atoms (fractional coordinates):
Tb 0.0000 0.0000 0.0000  2 Ho 2.84
Tb 0.2359 0.2359 0.1327  4 In 3.17-3.50, 1 Ho 3.22, 1 Tb 3.44
Tb 0.3140 0.3140 0.6103  3 In 3.07-3.23, 1 Ho 3.35
Tb 0.6860 0.6860 0.3897  3 In 3.07-3.23, 1 Ho 3.35
Tb 0.7641 0.7641 0.8673  4 In 3.17-3.50, 1 Ho 3.22, 1 Tb 3.44
Ho 0.4453 0.4453 0.3348  2 Ho 2.97-3.15, 2 In 3.18, 1 Tb 3.22
Ho 0.5000 0.5000 0.0000  2 Tb 2.84, 2 Ho 3.15
Ho 0.5547 0.5547 0.6652  2 Ho 2.97-3.15, 2 In 3.18, 1 Tb 3.22
In 0.0809 0.0809 0.3909  3 In 3.18-3.33, 4 Tb 3.23-3.50, 2 Ho 3.45
In 0.1447 0.1447 0.7668  5 Tb 3.07-3.36, 2 Ho 3.18, 2 In 3.18-3.33
In 0.8553 0.8553 0.2332  5 Tb 3.07-3.36, 2 Ho 3.18, 2 In 3.18-3.33
In 0.9191 0.9191 0.6091  3 In 3.18-3.33, 4 Tb 3.23-3.50, 2 Ho 3.45

Summary:
Size of the total moment (μB/f.u.): 0.00
DFT formation energy (kJ per mole of atoms): -3.5
Density of states at the Fermi level (states/eV/f.u.): 12.35

***

[4]
## Tb2Ho4In5 (PBE)

Data for a geometry-optimized Tb2Ho4In5 structure.

Cell: 11.5393 10.7010 6.2821 Å, 81.09 66.37 32.54°
Closest atoms and distances in Å follow each position.
Atoms (fractional coordinates):
Tb 0.1937 0.1937 0.8063  4 In 3.34
Tb 0.8063 0.8063 0.1937  4 In 3.34
Ho 0.2077 0.5342 0.4658  5 In 3.09-3.23
Ho 0.4658 0.7923 0.2077  5 In 3.09-3.23
Ho 0.5342 0.2077 0.7923  5 In 3.09-3.23
Ho 0.7923 0.4658 0.5342  5 In 3.09-3.23
In 0.0000 0.0000 0.5000  4 In 3.14-3.23, 4 Ho 3.23
In 0.2500 0.2500 0.2500  4 Ho 3.09, 2 In 3.23, 4 Tb 3.34
In 0.5000 0.5000 0.0000  4 In 3.14-3.23, 4 Ho 3.23
In 0.5000 0.5000 0.5000  4 In 3.14, 4 Ho 3.17
In 0.7500 0.7500 0.7500  4 Ho 3.09, 2 In 3.23, 4 Tb 3.34

Summary:
Size of the total moment (μB/f.u.): 0.00
DFT formation energy (kJ per mole of atoms): -8.2
Density of states at the Fermi level (states/eV/f.u.): 16.80